DFT (PBE-GGA) results for crystalline Tl4In2Ga at its relaxed geometry.

Cell: 9.2725 9.7151 4.6158 Å, 90.00 90.00 90.00°
Last column: nearest neighbours and their distance in Å.
Space group Cmmm (No. 65)
Unique sites:
1 Tl 0.1818 0.0000 0.0000 x4  5 Tl 3.37-3.41, 4 In 3.45-3.48, 2 Ga 3.75
2 Tl 0.2500 0.2500 0.5000 x4  4 In 3.32, 2 Ga 3.36, 4 Tl 3.41
3 In 0.0000 0.3104 0.0000 x4  2 Ga 2.95
4 Ga 0.0000 0.5000 0.5000 x2  4 In 2.95

* raw total energy: -0.1840 Ry/atom
* ΔH_f (0 K): 0.06 eV/atom

DFT (PBE-GGA) results for crystalline Tl3InGa at its relaxed geometry.

Cell: 5.5195 5.5195 5.5195 Å, 90.00 90.00 90.00°
Last column: nearest neighbours and their distance in Å.
Space group Pm-3m (No. 221)
Unique sites:
1 Tl 0.0000 0.0000 0.5000 x3  2 Ga 2.76
2 In 0.5000 0.5000 0.5000 x1  12 Tl 3.90
3 Ga 0.0000 0.0000 0.0000 x1  6 Tl 2.76

* relative energy among the computed polymorphs: 0.220 eV per atom
* raw total energy: -0.1708 Ry/atom
* ΔH_f (0 K): 0.25 eV/atom